Here is Dy8GaAu2 after structural relaxation from Alexandria via LeMat-Bulk. Energies are from PBE-GGA.

a = 5.111 Å, b = 6.891 Å, c = 9.264 Å
α = 105.94°, β = 106.01°, γ = 90.00°
Element x y z (fractional)
Ga  0.500  0.000  0.000
Dy  0.592  0.458  0.184
Dy  0.801  0.680  0.602
Au  0.817  0.277  0.634
Dy  0.199  0.320  0.398
Dy  0.408  0.542  0.816
Au  0.183  0.723  0.366
Dy  0.029  0.779  0.057
Dy  0.668  0.976  0.336
Dy  0.332  0.024  0.664
Dy  0.971  0.221  0.943

## Properties
Space-group type: C2/m, No. 12
Volume, Å³/f.u.: 300.54
D(E_F), states/eV per atom: 0.84
Electronic total energy, eV per atom: -4.647